VASP calculation (PBE) on crystalline K2LaIr at its relaxed geometry.

## Properties
ΔE to the lowest computed polymorph (eV per atom): 0.020
Formation energy (meV/atom): -60.2

Unit cell a=10.8591 b=10.8591 c=4.2057 alpha=78.66 beta=78.66 gamma=20.44
With the nearest neighbours (Å) after each atom.
Sites, in units of the cell vectors:
K 0.9059 0.9059 0.0910  2 Ir 3.79, 4 K 3.85-4.21, 2 La 3.88
La 0.7500 0.7500 0.7500  4 Ir 2.85
K 0.5941 0.5941 0.4090  2 Ir 3.79, 4 K 3.85-4.21, 2 La 3.88
Ir 0.2500 0.2500 0.2500  4 La 2.85

---

VASP calculation (PBE) on crystalline Li3Ag7 at its relaxed geometry.

## Properties
Formation energy (meV/atom): -142.1

Unit cell a=4.0914 b=5.8025 c=7.6221 alpha=102.83 beta=105.57 gamma=90.00
With the nearest neighbours (Å) after each atom.
Sites, in units of the cell vectors:
Ag 0.2007 0.1119 0.4014  5 Li 2.80-2.93, 7 Ag 2.87-2.97
Li 0.8024 0.3852 0.6049  10 Ag 2.80-2.93, 2 Li 3.05
Ag 0.4008 0.1921 0.8017  8 Ag 2.87-2.91, 4 Li 2.88
Ag 0.5992 0.8079 0.1983  8 Ag 2.87-2.91, 4 Li 2.88
Ag 0.0000 0.5000 0.0000  4 Li 2.82-2.90, 8 Ag 2.88-2.92
Li 0.0000 0.0000 0.0000  12 Ag 2.87-2.92
Li 0.1976 0.6148 0.3951  10 Ag 2.80-2.93, 2 Li 3.05
Ag 0.3958 0.6888 0.7916  5 Li 2.84-2.92, 7 Ag 2.88-2.92
Ag 0.6042 0.3112 0.2084  5 Li 2.84-2.92, 7 Ag 2.88-2.92
Ag 0.7993 0.8881 0.5986  5 Li 2.80-2.93, 7 Ag 2.87-2.97

---

VASP calculation (PBE) on crystalline CaTaTe2 at its relaxed geometry.

## Properties
ΔE to the lowest computed polymorph (eV per atom): 0.206
Formation energy without anion corrections (meV/atom): -268

Unit cell a=5.7225 b=5.7225 c=5.1061 alpha=85.23 beta=85.23 gamma=37.16
With the nearest neighbours (Å) after each atom.
Sites, in units of the cell vectors:
Ca 0.4823 0.4823 0.5992  7 Te 2.94-3.14, 1 Ta 3.27
Te 0.9894 0.9894 0.0991  3 Ta 2.94-3.17, 4 Ca 3.13-3.14
Ta 0.2765 0.2765 0.1689  5 Te 2.94-3.17, 1 Ca 3.27
Te 0.7518 0.7518 0.6328  3 Ca 2.94-3.09, 2 Ta 2.98

---

VASP calculation (PBE) on crystalline BaMg2CuAg at its relaxed geometry.

## Properties
Formation energy (meV/atom): -10.6

Unit cell a=5.0174 b=5.0174 c=5.2936 alpha=90.00 beta=90.00 gamma=90.00
With the nearest neighbours (Å) after each atom.
Sites, in units of the cell vectors:
Mg 0.0000 0.5000 0.0000  2 Cu 2.51
Ag 0.0000 0.0000 0.5000  2 Cu 2.65
Cu 0.0000 0.0000 0.0000  4 Mg 2.51, 2 Ag 2.65
Ba 0.5000 0.5000 0.5000  4 Ag 3.55, 8 Mg 3.65
Mg 0.5000 0.0000 0.0000  2 Cu 2.51

---

VASP calculation (PBE) on crystalline CaErCdCu at its relaxed geometry.

## Properties
Formation energy (meV/atom): -180.3

Unit cell a=5.1374 b=5.1374 c=5.1374 alpha=60.00 beta=60.00 gamma=60.00
With the nearest neighbours (Å) after each atom.
Sites, in units of the cell vectors:
Er 0.5000 0.5000 0.5000  4 Cd 3.15, 4 Cu 3.15
Ca 0.0000 0.0000 0.0000  4 Cu 3.15, 4 Cd 3.15
Cu 0.7500 0.7500 0.7500  4 Ca 3.15, 4 Er 3.15
Cd 0.2500 0.2500 0.2500  4 Ca 3.15, 4 Er 3.15

---

VASP calculation (PBE) on crystalline HfAg2Ru at its relaxed geometry.

## Properties
ΔE to the lowest computed polymorph (eV per atom): 0.072
Formation energy (meV/atom): 272.6

Unit cell a=4.6256 b=4.6256 c=4.6256 alpha=60.00 beta=60.00 gamma=60.00
With the nearest neighbours (Å) after each atom.
Sites, in units of the cell vectors:
Ag 0.7500 0.7500 0.7500  4 Hf 2.83, 4 Ru 2.83
Ru 0.0000 0.0000 0.0000  8 Ag 2.83
Hf 0.5000 0.5000 0.5000  8 Ag 2.83
Ag 0.2500 0.2500 0.2500  4 Hf 2.83, 4 Ru 2.83

---

VASP calculation (PBE) on crystalline BaTcGe2Ir at its relaxed geometry.

## Properties
Formation energy (meV/atom): 94.4

Unit cell a=4.8171 b=5.0721 c=4.8171 alpha=90.00 beta=90.00 gamma=90.00
With the nearest neighbours (Å) after each atom.
Sites, in units of the cell vectors:
Tc 0.0000 0.0000 0.0000  4 Ge 2.41, 2 Ir 2.54
Ge 0.5000 0.0000 0.0000  2 Tc 2.41
Ba 0.5000 0.5000 0.5000  4 Ir 3.41, 8 Ge 3.50
Ir 0.0000 0.5000 0.0000  2 Tc 2.54
Ge 0.0000 0.0000 0.5000  2 Tc 2.41

---

VASP calculation (PBE) on crystalline PrY12Ni6 at its relaxed geometry.

## Properties
Formation energy (meV/atom): -231.4

Unit cell a=8.5815 b=8.5815 c=8.5815 alpha=109.47 beta=109.47 gamma=109.47
With the nearest neighbours (Å) after each atom.
Sites, in units of the cell vectors:
Y 0.5046 0.8157 0.6888  3 Ni 2.68-2.88
Ni 0.5000 0.1227 0.6227  1 Ni 2.43, 2 Y 2.68
Y 0.6888 0.8731 0.1843  3 Ni 2.68-2.88
Y 0.4954 0.1843 0.3112  3 Ni 2.68-2.88
Ni 0.6227 0.5000 0.1227  1 Ni 2.43, 2 Y 2.68
Y 0.1269 0.8157 0.3112  3 Ni 2.68-2.88
Y 0.8731 0.1843 0.6888  3 Ni 2.68-2.88
Y 0.8157 0.6888 0.5046  3 Ni 2.68-2.88
Ni 0.8773 0.3773 0.5000  1 Ni 2.43, 2 Y 2.68
Y 0.1843 0.6888 0.8731  3 Ni 2.68-2.88
Y 0.8157 0.3112 0.1269  3 Ni 2.68-2.88
Y 0.6888 0.5046 0.8157  3 Ni 2.68-2.88
Pr 0.0000 0.0000 0.0000  12 Y 3.58
Y 0.3112 0.4954 0.1843  3 Ni 2.68-2.88
Y 0.3112 0.1269 0.8157  3 Ni 2.68-2.88
Y 0.1843 0.3112 0.4954  3 Ni 2.68-2.88
Ni 0.1227 0.6227 0.5000  1 Ni 2.43, 2 Y 2.68
Ni 0.5000 0.8773 0.3773  1 Ni 2.43, 2 Y 2.68
Ni 0.3773 0.5000 0.8773  1 Ni 2.43, 2 Y 2.68

---

| no. | spin magnetization (μB/f.u.) | total energy (eV per atom) | V (A^3/atom) |
| --- | --- | --- | --- |
| 1 | 0.0 | -4.056 | 42.42 |
| 2 | 0.0 | -2.712 | 16.96 |
| 3 | 0.0 | -5.302 | 25.15 |
| 4 | 0.0 | -2.422 | 26.65 |
| 5 | 0.0 | -3.074 | 23.97 |
| 6 | 0.0 | -5.960 | 17.50 |
| 7 | 0.0 | -5.982 | 23.54 |
| 8 | 0.0 | -6.391 | 25.60 |